# 1
Compound: MgCo2
Source: the Alexandria database
Functional: GGA-PBE
Structure: optimized geometry

Geometry as extended XYZ:
```
3
Lattice="2.690 0.000 0.000 -1.345 2.330 0.000 0.000 0.000 6.323" Properties=species:S:1:pos:R:3 pbc="T T T"
Mg 0.000 0.000 0.000
Co 0.000 1.553 2.237
Co 1.345 0.777 4.086
```

Properties
DOS at the Fermi energy	2.658	states/eV per cell
energy relative to the elements	0.240	eV/atom



# 2
Compound: MgCo2
Source: the Alexandria database
Functional: GGA-PBE
Structure: optimized geometry

Geometry as extended XYZ:
```
6
Lattice="4.259 0.000 0.000 -2.130 3.689 0.000 0.000 0.000 4.933" Properties=species:S:1:pos:R:3 pbc="T T T"
Mg 0.000 2.459 1.233
Mg 2.130 1.230 3.700
Co 0.000 0.000 0.000
Co 0.000 0.000 2.467
Co 0.000 2.459 3.700
Co 2.130 1.230 1.233
```

Properties
DOS at the Fermi energy	8.489	states/eV per cell
energy relative to the elements	0.299	eV/atom



# 3
Compound: MgCo
Source: the Alexandria database
Functional: GGA-PBE
Structure: optimized geometry

Geometry as extended XYZ:
```
8
Lattice="4.038 0.000 0.000 -2.019 3.497 0.000 0.000 0.000 9.080" Properties=species:S:1:pos:R:3 pbc="T T T"
Mg 0.000 2.331 0.832
Mg 0.000 2.331 3.708
Mg 2.019 1.166 5.372
Mg 2.019 1.166 8.248
Co 0.000 0.000 2.270
Co 0.000 0.000 6.810
Co 0.000 2.331 6.810
Co 2.019 1.166 2.270
```

Properties
DOS at the Fermi energy	4.554	states/eV per cell
energy relative to the elements	0.149	eV/atom



# 4
Compound: MgCo4
Source: the Alexandria database
Functional: GGA-PBE
Structure: optimized geometry

Geometry as extended XYZ:
```
5
Lattice="-2.678 2.678 2.678 2.678 -2.678 2.678 2.678 2.678 -2.678" Properties=species:S:1:pos:R:3 pbc="T T T"
Mg 0.000 0.000 0.000
Co 1.339 1.339 -1.339
Co 1.339 -1.339 1.339
Co -1.339 1.339 1.339
Co 1.339 1.339 1.339
```

Properties
DOS at the Fermi energy	9.359	states/eV per cell
E above lowest polymorph	5.92	eV per formula unit
energy relative to the elements	1.313	eV/atom



# 5
Compound: MgCo2
Source: the Alexandria database
Functional: GGA-PBE
Structure: optimized geometry

Geometry as extended XYZ:
```
6
Lattice="4.119 0.000 0.000 -2.060 3.567 0.000 0.000 0.000 5.484" Properties=species:S:1:pos:R:3 pbc="T T T"
Mg 0.000 0.000 1.371
Mg 0.000 0.000 4.113
Co 0.000 2.378 0.172
Co 0.000 2.378 2.570
Co 2.060 1.189 2.914
Co 2.060 1.189 5.312
```

Properties
DOS at the Fermi energy	5.410	states/eV per cell
energy relative to the elements	0.160	eV/atom



# 6
Compound: MgCo
Source: the Alexandria database
Functional: GGA-PBE
Structure: optimized geometry

Geometry as extended XYZ:
```
2
Lattice="0.000 2.548 2.548 2.548 0.000 2.548 2.548 2.548 0.000" Properties=species:S:1:pos:R:3 pbc="T T T"
Mg 0.000 0.000 0.000
Co 2.548 2.548 2.548
```

Properties
DOS at the Fermi energy	3.328	states/eV per cell
energy relative to the elements	0.770	eV/atom



# 7
Compound: Mg3Co2
Source: the Alexandria database
Functional: GGA-PBE
Structure: optimized geometry

Geometry as extended XYZ:
```
10
Lattice="0.000 9.841 1.413 5.898 0.000 1.413 5.898 9.841 0.000" Properties=species:S:1:pos:R:3 pbc="T T T"
Mg 0.000 0.000 0.000
Mg 7.863 7.699 1.435
Mg 2.949 4.920 0.707
Mg 4.914 7.062 2.141
Mg 3.933 11.982 1.435
Mg 6.882 12.619 2.141
Co 8.129 10.418 1.302
Co 11.078 14.184 2.008
Co 3.667 9.263 1.302
Co 6.616 15.338 2.008
```

Properties
DOS at the Fermi energy	9.179	states/eV per cell
E above lowest polymorph	0.00	eV per formula unit
energy relative to the elements	0.113	eV/atom



# 8
Compound: Mg3Co2
Source: the Alexandria database
Functional: GGA-PBE
Structure: optimized geometry

Geometry as extended XYZ:
```
5
Lattice="1.442 0.833 11.137 -1.442 0.833 11.137 0.000 -1.665 11.137" Properties=species:S:1:pos:R:3 pbc="T T T"
Mg 0.000 0.000 0.000
Mg 0.000 0.000 6.943
Mg 0.000 0.000 26.468
Co 0.000 0.000 13.257
Co 0.000 0.000 20.154
```

Properties
DOS at the Fermi energy	5.699	states/eV per cell
E above lowest polymorph	0.76	eV per formula unit
energy relative to the elements	0.264	eV/atom



# 9
Compound: MgCo
Source: the Alexandria database
Functional: GGA-PBE
Structure: optimized geometry

Geometry as extended XYZ:
```
12
Lattice="4.995 0.000 0.000 0.000 8.754 0.000 0.000 0.000 4.530" Properties=species:S:1:pos:R:3 pbc="T T T"
Mg 1.249 0.741 0.011
Mg 1.249 3.636 0.011
Mg 1.249 6.565 1.638
Mg 3.746 2.188 2.892
Mg 3.746 5.118 4.519
Mg 3.746 8.013 4.519
Co 0.000 0.000 2.265
Co 0.000 4.377 2.265
Co 1.249 2.188 2.284
Co 2.497 0.000 2.265
Co 2.497 4.377 2.265
Co 3.746 6.565 2.246
```

Properties
DOS at the Fermi energy	8.283	states/eV per cell
energy relative to the elements	0.156	eV/atom



# 10
Compound: MgCo
Source: the Alexandria database
Functional: GGA-PBE
Structure: optimized geometry

Geometry as extended XYZ:
```
4
Lattice="4.271 0.000 0.000 -2.135 3.699 0.000 0.000 0.000 4.297" Properties=species:S:1:pos:R:3 pbc="T T T"
Mg 0.000 2.466 1.074
Mg 2.135 1.233 3.223
Co 0.000 0.000 0.000
Co 0.000 0.000 2.149
```

Properties
DOS at the Fermi energy	5.496	states/eV per cell
energy relative to the elements	0.394	eV/atom



# 11
Compound: MgCo5
Source: the Alexandria database
Functional: GGA-PBE
Structure: optimized geometry

Geometry as extended XYZ:
```
6
Lattice="0.000 3.337 3.337 3.337 0.000 3.337 3.337 3.337 0.000" Properties=species:S:1:pos:R:3 pbc="T T T"
Mg 0.000 0.000 0.000
Co 2.502 2.502 2.502
Co 4.171 4.171 2.502
Co 4.171 2.502 4.171
Co 5.005 5.005 5.005
Co 2.502 4.171 4.171
```

Properties
DOS at the Fermi energy	6.680	states/eV per cell
energy relative to the elements	0.109	eV/atom



# 12
Compound: MgCo4
Source: the Alexandria database
Functional: GGA-PBE
Structure: optimized geometry

Geometry as extended XYZ:
```
5
Lattice="-1.872 1.872 4.862 1.872 -1.872 4.862 1.872 1.872 -4.862" Properties=species:S:1:pos:R:3 pbc="T T T"
Mg 0.000 0.000 0.000
Co 1.872 0.000 2.431
Co 0.000 0.000 3.761
Co 0.000 0.000 5.962
Co 0.000 1.872 2.431
```

Properties
DOS at the Fermi energy	3.871	states/eV per cell
E above lowest polymorph	0.34	eV per formula unit
energy relative to the elements	0.198	eV/atom



# 13
Compound: MgCo2
Source: the Alexandria database
Functional: GGA-PBE
Structure: optimized geometry

Geometry as extended XYZ:
```
24
Lattice="4.824 0.000 0.000 -2.412 4.178 0.000 0.000 0.000 15.842" Properties=species:S:1:pos:R:3 pbc="T T T"
Mg 0.000 0.000 1.477
Mg 0.000 0.000 6.444
Mg 0.000 0.000 9.398
Mg 0.000 0.000 14.365
Mg 0.000 2.785 2.473
Mg 0.000 2.785 5.448
Mg 2.412 1.393 10.394
Mg 2.412 1.393 13.369
Co -1.206 2.089 0.000
Co -1.206 2.089 7.921
Co 0.000 1.355 11.882
Co -1.239 3.500 11.882
Co 1.173 0.677 3.961
Co 0.000 2.785 9.953
Co 0.000 2.785 13.810
Co 2.412 0.000 0.000
Co 2.412 0.000 7.921
Co 1.206 2.089 0.000
Co 1.206 2.089 7.921
Co 2.412 1.393 2.032
Co 2.412 1.393 5.889
Co 1.239 3.500 11.882
Co 3.651 0.677 3.961
Co 2.412 2.823 3.961
```

Properties
DOS at the Fermi energy	20.420	states/eV per cell
energy relative to the elements	-0.035	eV/atom



# 14
Compound: Mg2Co3
Source: the Alexandria database
Functional: GGA-PBE
Structure: optimized geometry

Geometry as extended XYZ:
```
10
Lattice="0.000 6.984 2.486 4.248 0.000 2.486 4.248 6.984 0.000" Properties=species:S:1:pos:R:3 pbc="T T T"
Mg 4.914 2.836 2.486
Mg 5.705 6.328 3.729
Mg 3.582 11.132 2.486
Mg 2.790 7.640 3.729
Co 4.248 6.984 1.135
Co 3.579 5.279 2.477
Co 2.124 3.492 2.378
Co 4.916 8.689 2.477
Co 7.040 8.771 3.720
Co 5.703 12.180 3.720
```

Properties
DOS at the Fermi energy	9.970	states/eV per cell
E above lowest polymorph	0.00	eV per formula unit
energy relative to the elements	0.125	eV/atom



# 15
Compound: MgCo
Source: the Alexandria database
Functional: GGA-PBE
Structure: optimized geometry

Geometry as extended XYZ:
```
4
Lattice="2.786 0.000 0.000 -1.393 2.413 0.000 0.000 0.000 8.675" Properties=species:S:1:pos:R:3 pbc="T T T"
Mg 0.000 0.000 0.000
Mg 0.000 0.000 4.337
Co 0.000 1.608 2.169
Co 1.393 0.804 6.506
```

Properties
DOS at the Fermi energy	4.962	states/eV per cell
energy relative to the elements	0.292	eV/atom



# 16
Compound: MgCo
Source: the Alexandria database
Functional: GGA-PBE
Structure: optimized geometry

Geometry as extended XYZ:
```
12
Lattice="7.490 0.000 0.000 -3.745 6.487 0.000 0.000 0.000 4.062" Properties=species:S:1:pos:R:3 pbc="T T T"
Mg 0.000 2.375 1.015
Mg -1.688 5.299 1.015
Mg 2.057 1.188 3.046
Mg 1.688 5.299 1.015
Mg 5.433 1.188 3.046
Mg 3.745 4.111 3.046
Co -1.191 3.637 3.046
Co 1.191 3.637 3.046
Co 0.000 5.700 3.046
Co 3.745 0.787 1.015
Co 2.554 2.850 1.015
Co 4.936 2.850 1.015
```

Properties
DOS at the Fermi energy	9.534	states/eV per cell
energy relative to the elements	0.122	eV/atom



# 17
Compound: MgCo2
Source: the Alexandria database
Functional: GGA-PBE
Structure: optimized geometry

Geometry as extended XYZ:
```
6
Lattice="1.485 -6.369 0.000 1.485 6.369 0.000 0.000 0.000 4.169" Properties=species:S:1:pos:R:3 pbc="T T T"
Mg 1.485 5.378 3.126
Mg 1.485 -5.378 1.042
Co 1.485 3.211 1.042
Co 1.485 1.348 3.126
Co 1.485 -1.348 1.042
Co 1.485 -3.211 3.126
```

Properties
DOS at the Fermi energy	7.349	states/eV per cell
energy relative to the elements	0.138	eV/atom



# 18
Compound: MgCo2
Source: the Alexandria database
Functional: GGA-PBE
Structure: optimized geometry

Geometry as extended XYZ:
```
6
Lattice="-2.869 2.869 2.530 2.869 -2.869 2.530 2.869 2.869 -2.530" Properties=species:S:1:pos:R:3 pbc="T T T"
Mg 0.000 0.000 1.265
Mg 0.000 0.000 3.794
Co 3.636 0.767 0.000
Co 0.767 2.101 0.000
Co 2.101 0.767 2.530
Co -0.767 2.101 2.530
```

Properties
DOS at the Fermi energy	7.176	states/eV per cell
energy relative to the elements	0.598	eV/atom



# 19
Compound: MgCo2
Source: the Alexandria database
Functional: GGA-PBE
Structure: optimized geometry

Geometry as extended XYZ:
```
3
Lattice="4.128 0.000 0.000 -2.064 3.575 0.000 0.000 0.000 2.700" Properties=species:S:1:pos:R:3 pbc="T T T"
Mg 0.000 0.000 0.000
Co 0.000 2.383 1.350
Co 2.064 1.192 1.350
```

Properties
DOS at the Fermi energy	3.643	states/eV per cell
energy relative to the elements	0.177	eV/atom



# 20
Compound: MgCo
Source: the Alexandria database
Functional: GGA-PBE
Structure: optimized geometry

Geometry as extended XYZ:
```
4
Lattice="3.244 0.000 0.000 0.000 3.244 0.000 0.000 0.000 6.734" Properties=species:S:1:pos:R:3 pbc="T T T"
Mg 0.811 0.811 1.173
Mg 2.433 2.433 5.561
Co 0.811 2.433 3.367
Co 2.433 0.811 3.367
```

Properties
DOS at the Fermi energy	3.006	states/eV per cell
energy relative to the elements	0.280	eV/atom